(1)
A relaxed Ce3NbSb5 crystal. Source: Alexandria, functional PBE-GGA.

extended XYZ file:
```
18
Lattice="9.329 0.000 0.000 -4.665 8.079 0.000 0.000 0.000 6.241" Properties=species:S:1:pos:R:3 pbc="T T T"
Ce -1.781 3.085 1.560
Ce -2.884 4.994 4.681
Ce 3.562 0.000 1.560
Ce 1.781 3.085 4.681
Ce 5.767 0.000 4.681
Ce 2.884 4.994 1.560
Nb 0.000 0.000 0.000
Nb 0.000 0.000 3.120
Sb -1.226 2.124 4.681
Sb -3.438 5.956 1.560
Sb 2.452 0.000 4.681
Sb 1.226 2.124 1.560
Sb 0.000 5.386 0.000
Sb 0.000 5.386 3.120
Sb 4.665 2.693 0.000
Sb 4.665 2.693 3.120
Sb 6.877 0.000 1.560
Sb 3.438 5.956 4.681
```

Properties
The uncorrected formation energy comes out at -0.8293 eV per atom.



(2)
A relaxed Fe2MoBr crystal. Source: Alexandria, functional PBE-GGA.

extended XYZ file:
```
4
Lattice="3.004 0.000 0.000 0.000 1.516 6.889 0.000 -1.516 6.889" Properties=species:S:1:pos:R:3 pbc="T T T"
Fe 0.000 0.000 0.000
Fe 1.502 0.000 5.574
Mo 0.000 0.000 10.997
Br 1.502 0.000 2.190
```

Properties
The uncorrected formation energy comes out at 0.4244 eV per atom. The energy above the most stable polymorph in this dataset comes out at 0 meV/atom.